A geometry-optimized LaHgB structure, computed with PBE-GGA.

Cell: 4.501 4.501 6.673 Å, 90.00 90.00 90.00°
Element x y z (fractional)
B1 0.500 0.500 0.500
B2 0.000 0.000 0.500
La1 0.500 0.000 0.761
La2 0.000 0.500 0.239
Hg1 0.000 0.500 0.719
Hg2 0.500 0.000 0.281

Calculated values
E, eV/atom: -3.806
Calculated density, g/cm³: 8.6
D(E_F), states/eV per cell: 2.694
Excess energy over the best structure of this formula in the dataset, meV/atom: 558.9
Space-group type: P4/nmm, No. 129

A geometry-optimized LaHgB structure, computed with PBE-GGA.

Cell: 7.495 6.604 3.984 Å, 72.48 74.62 46.98°
Element x y z (fractional)
Hg1 0.484 0.468 0.603
Hg2 0.885 0.542 0.867
B1 0.882 0.358 0.461
B2 0.671 0.005 0.743
La1 0.399 0.048 0.357
La2 0.982 0.955 0.111

Calculated values
E, eV/atom: -3.837
Calculated density, g/cm³: 8.5
D(E_F), states/eV per cell: 4.760
Excess energy over the best structure of this formula in the dataset, meV/atom: 527.8
Space-group type: Cm, No. 8

A geometry-optimized LaHgB structure, computed with PBE-GGA.

Cell: 9.160 4.088 7.035 Å, 90.00 90.00 90.00°
Element x y z (fractional)
Hg1 0.746 0.750 0.081
Hg2 0.754 0.250 0.581
Hg3 0.254 0.250 0.919
Hg4 0.246 0.750 0.419
La1 0.499 0.750 0.735
La2 0.001 0.250 0.235
La3 0.999 0.750 0.765
La4 0.501 0.250 0.265
B1 0.682 0.750 0.407
B2 0.318 0.250 0.593
B3 0.818 0.250 0.907
B4 0.182 0.750 0.093

Calculated values
E, eV/atom: -3.891
Calculated density, g/cm³: 8.8
D(E_F), states/eV per cell: 6.551
Excess energy over the best structure of this formula in the dataset, meV/atom: 474.5
Space-group type: Pnma, No. 62

A geometry-optimized LaHgB structure, computed with PBE-GGA.

Cell: 3.231 10.455 3.858 Å, 79.38 90.00 90.00°
Element x y z (fractional)
Hg1 0.967 0.210 0.395
Hg2 0.467 0.016 0.992
La1 0.467 0.440 0.780
La2 0.967 0.787 0.607
B1 0.967 0.591 0.205
B2 0.467 0.635 0.182

Calculated values
E, eV/atom: -4.365
Calculated density, g/cm³: 9.1
D(E_F), states/eV per cell: 3.744
Excess energy over the best structure of this formula in the dataset, meV/atom: 0.0
Space-group type: Cmcm, No. 63

> The highest excess energy over the best structure of this formula in the dataset belongs to which entry?

number 1